1.
The following is a PBE calculation of BeTe2WI after structural relaxation, from Alexandria via LeMat-Bulk.

Geometry as POSCAR:
```
BeTe2WI
1.0
-3.258 -2.580 -3.214
0.628 -4.360 2.863
-4.494 1.535 3.324
I Be Te W
1 1 2 1
Cartesian
-2.247 0.768 1.662
-3.562 -2.702 1.487
0.314 -2.180 1.432
-1.629 -1.290 -1.607
0.000 0.000 0.000
```

## Properties
**Calculated density**: 5.97 g/cm3
**VASP energy**: -19.26 eV for the cell shown
**ΔE to the lowest computed polymorph**: 0.000 eV per atom

---

2.
The following is a PBE calculation of Cs3TaCo after structural relaxation, from Alexandria via LeMat-Bulk.

Geometry as POSCAR:
```
Cs3TaCo
1.0
-3.335 -3.031 -4.253
-2.930 -3.092 4.501
-4.323 4.433 0.232
Cs Ta Co
3 1 1
Cartesian
-1.465 -1.546 2.250
-2.162 2.217 0.116
-1.668 -1.515 -2.127
-5.294 -0.845 0.239
0.000 0.000 0.000
```

## Properties
**Energy of formation from the pure elements**: 1917 meV/atom
**Calculated density**: 4.46 g/cm3
**VASP energy**: -11.94 eV for the cell shown

---

3.
The following is a PBE calculation of LaTiAlTe2 after structural relaxation, from Alexandria via LeMat-Bulk.

Geometry as POSCAR:
```
LaTiAlTe2
1.0
-1.110 4.567 -2.773
1.049 -2.269 -4.158
-5.212 -1.550 -0.468
Te Ti Al La
2 1 1 1
Cartesian
-2.606 -0.775 -0.234
-0.555 2.284 -1.386
0.524 -1.135 -2.079
0.000 0.000 0.000
-2.636 0.374 -3.699
```

## Properties
**Calculated density**: 5.39 g/cm3
**VASP energy**: -23.08 eV for the cell shown